Crystalline PrHfO4 at its relaxed geometry. Source: Alexandria via LeMat-Bulk, functional GGA-PBE.

Calculated values
Space-group type: P4_3, No. 78
D(E_F): 1.81 states/eV/cell
E_tot: -8.8015 eV/atom
Crystal system: tetragonal

Structure (POSCAR):
```
PrHfO4
1.0
7.698 0.000 0.000
0.000 7.698 0.000
0.000 0.000 10.773
Pr Hf O
8 8 32
Cartesian
0.028 1.895 0.000
1.895 7.670 2.693
1.948 3.817 2.738
3.817 5.750 5.431
3.881 1.948 0.045
5.750 3.881 8.124
5.803 0.028 8.079
7.670 5.803 5.386
0.002 1.856 5.388
7.696 5.842 0.001
1.856 7.696 8.081
1.997 3.856 8.130
3.842 1.997 5.437
3.856 5.701 0.051
5.701 3.842 2.744
5.842 0.002 2.694
0.143 7.457 9.438
0.156 3.687 6.747
0.241 0.143 6.745
0.397 4.250 9.443
1.630 2.226 6.764
1.862 1.884 9.079
1.884 5.836 1.000
1.893 5.742 4.059
1.956 1.893 1.366
1.965 1.984 4.430
1.984 5.733 7.123
2.226 6.068 9.457
3.448 0.397 6.750
3.613 3.987 9.456
3.687 7.542 9.440
3.711 3.613 6.763
3.987 4.085 1.376
4.010 0.156 4.054
4.085 3.711 4.070
4.250 7.301 1.364
5.472 1.630 4.071
5.714 1.965 1.737
5.733 5.714 9.816
5.742 5.805 6.752
5.805 1.956 9.445
5.814 1.862 6.386
5.836 5.814 3.693
6.068 5.472 1.378
7.301 3.448 4.057
7.457 7.555 1.359
7.542 4.010 1.361
7.555 0.241 4.052
```